NaSc2Mn2 GGA-PBE relaxed; space group = P4/mbm; total DFT energy (no corrections) = -60.9 eV for the cell shown; calculated density = 4.001 g cm⁻³; energy relative to the elements = 0.378 eV per atom; Fermi-level density of states = 1.26 states/eV per atom
1.0
-5.458 -5.469 -0.820
3.697 -2.752 -6.255
1.621 -1.886 1.788
Na Mn Sc
2 4 4
Direct
0.000 0.000 0.000
0.500 0.500 0.000
0.909 0.591 0.000
0.091 0.409 0.000
0.591 0.091 0.000
0.409 0.909 0.000
0.308 0.192 0.500
0.692 0.808 0.500
0.808 0.308 0.500
0.192 0.692 0.500

NaSc2Mn GGA-PBE relaxed; space group = Fd-3m; total DFT energy (no corrections) = -40.0 eV for the cell shown; calculated density = 2.135 g cm⁻³; energy relative to the elements = 0.784 eV per atom; Fermi-level density of states = 0.32 states/eV per atom
1.0
7.173 0.000 0.000
0.000 7.173 0.000
3.587 3.587 5.073
Sc Na Mn
4 2 2
Direct
0.875 0.625 0.250
0.375 0.125 0.750
0.875 0.125 0.750
0.875 0.125 0.250
0.250 0.750 0.500
0.500 0.500 0.000
0.000 0.000 0.000
0.750 0.250 0.500